(1)
VASP calculation (PBE) on a relaxed PuScBi2 crystal.

abc: 7.8034 7.8034 7.8034
angles: 32.76 32.76 32.76
Closest atoms and distances in Å follow each position.
Atoms (fractional coordinates):
Pu (0.0000, 0.0000, 0.0000)  6 Bi 3.16-3.21
Sc (0.8298, 0.8298, 0.8298)  6 Bi 3.07-3.12
Bi (0.4183, 0.4183, 0.4183)  3 Sc 3.07, 3 Pu 3.16
Bi (0.5783, 0.5783, 0.5783)  3 Sc 3.12, 3 Pu 3.21

Results
VASP energy   -7.5047 eV per atom
Calculated formation energy   -1.59 eV per formula unit
Energy relative to the lowest polymorph listed for this composition   0.0944 eV per atom

(2)
VASP calculation (PBE) on a relaxed Ta3NbH6 crystal.

abc: 5.6163 5.6163 5.6163
angles: 89.59 89.59 89.59
Closest atoms and distances in Å follow each position.
Atoms (fractional coordinates):
Ta (0.0053, 0.5077, 0.7501)  6 H 1.91-2.04
Ta (0.2499, 0.9947, 0.4924)  6 H 1.91-2.04
Ta (0.4924, 0.2499, 0.9947)  6 H 1.91-2.04
Ta (0.5076, 0.7501, 0.0053)  6 H 1.91-2.04
Ta (0.7501, 0.0053, 0.5076)  6 H 1.91-2.04
Ta (0.9947, 0.4924, 0.2499)  6 H 1.91-2.04
Nb (0.0000, 0.0000, 0.0000)  6 H 1.92
Nb (0.5000, 0.5000, 0.5000)  6 H 1.92
H (0.0054, 0.8497, 0.3086)  3 H 1.91-2.13, 3 Ta 1.91-2.04, 1 Nb 1.92
H (0.1503, 0.6914, 0.9946)  3 H 1.91-2.13, 3 Ta 1.91-2.04, 1 Nb 1.92
H (0.1933, 0.3513, 0.5021)  3 H 1.91-2.12, 1 Nb 1.92, 3 Ta 1.95-2.03
H (0.3085, 0.0054, 0.8497)  3 H 1.91-2.13, 3 Ta 1.91-2.04, 1 Nb 1.92
H (0.3513, 0.5021, 0.1933)  3 H 1.91-2.12, 1 Nb 1.92, 3 Ta 1.95-2.03
H (0.4979, 0.8067, 0.6487)  3 H 1.91-2.12, 1 Nb 1.92, 3 Ta 1.95-2.03
H (0.5021, 0.1933, 0.3513)  3 H 1.91-2.12, 1 Nb 1.92, 3 Ta 1.95-2.03
H (0.6487, 0.4979, 0.8067)  3 H 1.91-2.12, 1 Nb 1.92, 3 Ta 1.95-2.03
H (0.6915, 0.9946, 0.1503)  3 H 1.91-2.13, 3 Ta 1.91-2.04, 1 Nb 1.92
H (0.8067, 0.6487, 0.4979)  3 H 1.91-2.12, 1 Nb 1.92, 3 Ta 1.95-2.03
H (0.8497, 0.3085, 0.0054)  3 H 1.91-2.13, 3 Ta 1.91-2.04, 1 Nb 1.92
H (0.9946, 0.1503, 0.6915)  3 H 1.91-2.13, 3 Ta 1.91-2.04, 1 Nb 1.92

Results
VASP energy   -6.6852 eV per atom
Energy relative to the lowest polymorph listed for this composition   0.0000 eV per atom

(3)
VASP calculation (PBE) on a relaxed Zn2RuRh crystal.

abc: 4.6759 4.6759 4.6759
angles: 131.52 131.52 70.98
Closest atoms and distances in Å follow each position.
Atoms (fractional coordinates):
Zn (0.0000, 0.0000, 0.0000)  4 Rh 2.70, 4 Zn 2.70, 4 Ru 2.71
Zn (0.7500, 0.2500, 0.5000)  4 Ru 2.70, 4 Zn 2.70, 4 Rh 2.71
Ru (0.5000, 0.5000, 0.0000)  4 Rh 2.70, 8 Zn 2.70-2.71
Rh (0.2500, 0.7500, 0.5000)  4 Ru 2.70, 8 Zn 2.70-2.71

Results
VASP energy   -4.8334 eV per atom
Calculated formation energy   -0.16 eV per formula unit

(4)
VASP calculation (PBE) on a relaxed TlAg2RuCl8 crystal.

abc: 6.2090 6.4087 7.8158
angles: 89.98 89.95 83.29
Closest atoms and distances in Å follow each position.
Atoms (fractional coordinates):
Tl (0.0000, 0.0000, 0.0000)  6 Cl 2.65-2.75
Ag (0.4990, 0.4994, 0.2592)  4 Cl 2.62-2.66
Ag (0.5010, 0.5006, 0.7408)  4 Cl 2.62-2.66
Ru (0.0000, 0.0000, 0.5000)  6 Cl 2.36-2.39
Cl (0.2094, 0.1341, 0.7173)  1 Ru 2.36
Cl (0.2098, 0.1338, 0.2823)  1 Ru 2.36
Cl (0.2392, 0.6798, 0.5002)  1 Ru 2.39, 2 Ag 2.65-2.66
Cl (0.2578, 0.6402, 0.9997)  2 Ag 2.62, 1 Tl 2.65
Cl (0.7422, 0.3598, 0.0003)  2 Ag 2.62, 1 Tl 2.65
Cl (0.7608, 0.3202, 0.4998)  1 Ru 2.39, 2 Ag 2.65-2.66
Cl (0.7902, 0.8662, 0.7177)  1 Ru 2.36
Cl (0.7906, 0.8659, 0.2827)  1 Ru 2.36

Results
Raw formation energy   -542 meV per atom
VASP energy   -3.2183 eV per atom

(5)
VASP calculation (PBE) on a relaxed LiYErNi crystal.

abc: 4.9116 4.9116 4.9116
angles: 60.00 60.00 60.00
Closest atoms and distances in Å follow each position.
Atoms (fractional coordinates):
Li (0.0000, 0.0000, 0.0000)  4 Er 3.01, 4 Y 3.01
Y (0.2500, 0.2500, 0.2500)  4 Ni 3.01, 4 Li 3.01
Er (0.7500, 0.7500, 0.7500)  4 Ni 3.01, 4 Li 3.01
Ni (0.5000, 0.5000, 0.5000)  4 Y 3.01, 4 Er 3.01

Results
VASP energy   -4.8313 eV per atom
Calculated formation energy   -0.60 eV per formula unit

(6)
VASP calculation (PBE) on a relaxed RbScNi2H crystal.

abc: 5.0842 5.0842 3.7033
angles: 90.00 90.00 90.00
Closest atoms and distances in Å follow each position.
Atoms (fractional coordinates):
Rb (0.0000, 0.0000, 0.0000)  2 H 1.85
Sc (0.5000, 0.5000, 0.5000)  8 Ni 3.14
Ni (0.0000, 0.5000, 0.0000)  2 Rb 2.54
Ni (0.5000, 0.0000, 0.0000)  2 Rb 2.54
H (0.0000, 0.0000, 0.5000)  2 Rb 1.85

Results
VASP energy   -2.9666 eV per atom

Q: What is the VASP energy in the sixth record?
A: -2.9666 eV per atom

Q: VASP energy of number 2 (Ta3NbH6)?
A: -6.6852 eV per atom